(1)
# Mg2TaHg

A relaxed Mg2TaHg crystal (PBE, the Alexandria database).

abc: 2.980 2.980 9.025
angles: 90.00 90.00 90.03
Atoms (fractional coordinates):
Mg 0.000 0.000 0.007
Mg 0.000 0.000 0.493
Hg 0.500 0.500 0.750
Ta 0.500 0.500 0.250

Output
Magnetization: 0.0 μB per cell
E: -3.731 eV/atom
Space-group type: No. 123
Fermi-level density of states: 3.14 states/eV per cell



(2)
# MgTa2Hg

A relaxed MgTa2Hg crystal (PBE, the Alexandria database).

abc: 5.158 5.158 5.436
angles: 81.10 81.10 32.94
Atoms (fractional coordinates):
Ta 0.746 0.746 0.789
Ta 0.012 0.012 0.964
Mg 0.248 0.248 0.272
Hg 0.494 0.494 0.475

Output
Magnetization: 0.0 μB per cell
Energy above the lowest structure with this stoichiometry: 0.182 eV/atom
E: -6.091 eV/atom
Space-group type: No. 8
Fermi-level density of states: 2.64 states/eV per cell



(3)
# MgTa2Hg

A relaxed MgTa2Hg crystal (PBE, the Alexandria database).

abc: 5.047 2.918 5.322
angles: 77.54 90.00 90.00
Atoms (fractional coordinates):
Hg 0.500 0.250 0.250
Ta 0.000 0.477 0.499
Ta 0.000 0.023 0.001
Mg 0.500 0.750 0.750

Output
Magnetization: 0.0 μB per cell
Energy above the lowest structure with this stoichiometry: 0.189 eV/atom
E: -6.084 eV/atom
Space-group type: No. 10
Fermi-level density of states: 3.27 states/eV per cell



(4)
# MgTaHg

A relaxed MgTaHg crystal (PBE, the Alexandria database).

abc: 4.674 4.674 3.072
angles: 90.00 90.00 120.00
Atoms (fractional coordinates):
Hg 0.000 0.000 0.167
Ta 0.667 0.333 0.666
Mg 0.333 0.667 0.166

Output
Magnetization: 0.0 μB per cell
Energy above the lowest structure with this stoichiometry: 0.226 eV/atom
E: -4.149 eV/atom
Space-group type: No. 187
Fermi-level density of states: 2.36 states/eV per cell



(5)
# MgTa2Hg

A relaxed MgTa2Hg crystal (PBE, the Alexandria database).

abc: 5.510 5.510 4.226
angles: 67.45 67.45 39.59
Atoms (fractional coordinates):
Ta 0.499 0.499 0.501
Ta 0.001 0.001 0.999
Mg 0.250 0.250 0.250
Hg 0.750 0.750 0.750

Output
Magnetization: 0.0 μB per cell
Energy above the lowest structure with this stoichiometry: 0.104 eV/atom
E: -6.169 eV/atom
Space-group type: No. 71
Fermi-level density of states: 3.43 states/eV per cell



(6)
# Mg2TaHg

A relaxed Mg2TaHg crystal (PBE, the Alexandria database).

abc: 4.229 4.267 4.267
angles: 90.00 90.00 90.00
Atoms (fractional coordinates):
Hg 0.500 0.000 0.500
Ta 0.500 0.500 0.000
Mg 0.000 0.500 0.500
Mg 0.000 0.000 0.000

Output
Magnetization: 0.0 μB per cell
E: -3.616 eV/atom
Space-group type: No. 123
Fermi-level density of states: 2.07 states/eV per cell



(7)
# MgTa2Hg

A relaxed MgTa2Hg crystal (PBE, the Alexandria database).

abc: 2.899 2.899 9.179
angles: 90.00 90.00 90.00
Atoms (fractional coordinates):
Hg 0.000 0.000 0.500
Ta 0.000 0.000 0.005
Ta 0.500 0.500 0.248
Mg 0.500 0.500 0.747

Output
Magnetization: 0.0 μB per cell
Energy above the lowest structure with this stoichiometry: 0.056 eV/atom
E: -6.217 eV/atom
Space-group type: No. 99
Fermi-level density of states: 2.86 states/eV per cell



(8)
# MgTa2Hg

A relaxed MgTa2Hg crystal (PBE, the Alexandria database).

abc: 5.282 5.282 5.282
angles: 133.73 133.73 67.51
Atoms (fractional coordinates):
Ta 0.000 0.000 0.000
Ta 0.250 0.750 0.500
Mg 0.750 0.250 0.500
Hg 0.500 0.500 0.000

Output
Magnetization: 0.0 μB per cell
Energy above the lowest structure with this stoichiometry: 0.263 eV/atom
E: -6.010 eV/atom
Space-group type: No. 119
Fermi-level density of states: 2.38 states/eV per cell



(9)
# MgTaHg

A relaxed MgTaHg crystal (PBE, the Alexandria database).

abc: 4.561 4.561 4.561
angles: 60.00 60.00 60.00
Atoms (fractional coordinates):
Mg 0.000 0.000 0.000
Ta 0.500 0.500 0.500
Hg 0.750 0.750 0.750

Output
Magnetization: 0.0 μB per cell
Energy above the lowest structure with this stoichiometry: 0.555 eV/atom
E: -3.819 eV/atom
Space-group type: No. 216
Fermi-level density of states: 3.23 states/eV per cell



(10)
# Mg2TaHg

A relaxed Mg2TaHg crystal (PBE, the Alexandria database).

abc: 4.613 3.004 5.975
angles: 75.81 90.00 90.00
Atoms (fractional coordinates):
Ta 0.000 0.551 0.517
Hg 0.500 0.944 0.730
Mg 0.500 0.191 0.245
Mg 0.000 0.814 0.008

Output
Magnetization: 0.0 μB per cell
E: -3.576 eV/atom
Space-group type: No. 6
Fermi-level density of states: 3.60 states/eV per cell



(11)
# Mg2TaHg

A relaxed Mg2TaHg crystal (PBE, the Alexandria database).

abc: 5.613 5.788 2.875
angles: 79.20 82.77 116.97
Atoms (fractional coordinates):
Mg 0.000 0.000 0.000
Mg 0.500 0.000 0.500
Hg 0.500 0.500 0.000
Ta 0.000 0.500 0.500

Output
Magnetization: 0.0 μB per cell
E: -3.610 eV/atom
Space-group type: No. 12
Fermi-level density of states: 3.10 states/eV per cell



(12)
# Mg2TaHg

A relaxed Mg2TaHg crystal (PBE, the Alexandria database).

abc: 5.286 5.286 5.286
angles: 132.68 132.68 69.15
Atoms (fractional coordinates):
Mg 0.250 0.750 0.500
Mg 0.000 0.000 0.000
Ta 0.500 0.500 0.000
Hg 0.750 0.250 0.500

Output
Magnetization: 0.0 μB per cell
E: -3.463 eV/atom
Space-group type: No. 119
Fermi-level density of states: 3.50 states/eV per cell



ΔE_f across the listed records, respectively: 105, 309, 316, 435, 231, 220, 183, 391, 764, 260, 226, 373 meV/atom.